Material: Ge4C
Method: DFT, PBE
State: optimized geometry

## Properties
Spin magnetization in μB per formula unit: 0.0
N(E_F) in states/eV per cell: 3.783
E_form in eV/atom: 0.956

Geometry as CIF:
```
data_Ge4C
_chemical_formula_sum 'Ge4 C1'
_space_group_name_H-M_alt 'P m -3 m'
_space_group_IT_number 221
_space_group_name_Hall '-P 4 2 3'
_cell_length_a 4.421
_cell_length_b 4.421
_cell_length_c 4.421
_cell_angle_alpha 90.00
_cell_angle_beta 90.00
_cell_angle_gamma 90.00
loop_
_atom_site_label
_atom_site_type_symbol
_atom_site_fract_x
_atom_site_fract_y
_atom_site_fract_z
Ge1 Ge 0.000 0.000 0.000
Ge2 Ge 0.000 0.500 0.500
C1 C 0.500 0.500 0.500
```

Material: Ta2AgPb
Method: DFT, PBE
State: optimized geometry

## Properties
Spin magnetization in μB per formula unit: 0.0
N(E_F) in states/eV per cell: 4.598
E_form in eV/atom: 0.459

Geometry as CIF:
```
data_Ta2AgPb
_chemical_formula_sum 'Ta4 Ag2 Pb2'
_space_group_name_H-M_alt 'C 1 2/m 1'
_space_group_IT_number 12
_cell_length_a 10.260
_cell_length_b 3.339
_cell_length_c 4.797
_cell_angle_alpha 90.00
_cell_angle_beta 106.07
_cell_angle_gamma 90.00
loop_
_space_group_symop_operation_xyz
'x,y,z'
'-x,-y,-z'
'-x,y,-z'
'x,-y,z'
'x+1/2,y+1/2,z'
'-x+1/2,-y+1/2,-z'
'-x+1/2,y+1/2,-z'
'x+1/2,-y+1/2,z'
loop_
_atom_site_label
_atom_site_type_symbol
_atom_site_fract_x
_atom_site_fract_y
_atom_site_fract_z
Ta1 Ta 0.248 0.000 0.236
Ag1 Ag 0.000 0.500 0.000
Pb1 Pb 0.000 0.000 0.500
```

Material: NbC
Method: DFT, PBE
State: optimized geometry

## Properties
Spin magnetization in μB per formula unit: 0.0
Excess energy over the best structure of this formula in the dataset in meV per atom: 461.0
N(E_F) in states/eV per cell: 3.717
E_form in eV/atom: -0.011

Geometry as CIF:
```
data_NbC
_chemical_formula_sum 'Nb4 C4'
_space_group_name_H-M_alt 'A m m 2'
_space_group_IT_number 38
_cell_length_a 3.110
_cell_length_b 3.102
_cell_length_c 10.285
_cell_angle_alpha 90.00
_cell_angle_beta 90.00
_cell_angle_gamma 90.00
loop_
_space_group_symop_operation_xyz
'x,y,z'
'-x,-y,z'
'-x,y,z'
'x,-y,z'
'x,y+1/2,z+1/2'
'-x,-y+1/2,z+1/2'
'-x,y+1/2,z+1/2'
'x,-y+1/2,z+1/2'
loop_
_atom_site_label
_atom_site_type_symbol
_atom_site_fract_x
_atom_site_fract_y
_atom_site_fract_z
Nb1 Nb 0.000 0.000 0.000
Nb2 Nb 0.500 0.000 0.255
C1 C 0.500 0.000 0.459
C2 C 0.500 0.000 0.602
```

Material: YMgCu3
Method: DFT, PBE
State: optimized geometry

## Properties
Spin magnetization in μB per formula unit: 0.0
Excess energy over the best structure of this formula in the dataset in meV per atom: 1044.7
N(E_F) in states/eV per cell: 2.260
E_form in eV/atom: 0.989

Geometry as CIF:
```
data_YMgCu3
_chemical_formula_sum 'Y1 Mg1 Cu3'
_space_group_name_H-M_alt 'P m -3 m'
_space_group_IT_number 221
_space_group_name_Hall '-P 4 2 3'
_cell_length_a 5.055
_cell_length_b 5.055
_cell_length_c 5.055
_cell_angle_alpha 90.00
_cell_angle_beta 90.00
_cell_angle_gamma 90.00
loop_
_atom_site_label
_atom_site_type_symbol
_atom_site_fract_x
_atom_site_fract_y
_atom_site_fract_z
Y1 Y 0.000 0.000 0.000
Mg1 Mg 0.500 0.500 0.500
Cu1 Cu 0.000 0.000 0.500
```

Material: NbS2O8
Method: DFT, PBE
State: optimized geometry

## Properties
Spin magnetization in μB per formula unit: 1.0
E_tot in Ha/atom: -0.24795

Geometry as CIF:
```
data_NbS2O8
_chemical_formula_sum 'Nb2 S4 O16'
_space_group_name_H-M_alt 'C 1 2/m 1'
_space_group_IT_number 12
_cell_length_a 10.477
_cell_length_b 7.070
_cell_length_c 4.847
_cell_angle_alpha 90.00
_cell_angle_beta 100.26
_cell_angle_gamma 90.00
loop_
_space_group_symop_operation_xyz
'x,y,z'
'-x,-y,-z'
'-x,y,-z'
'x,-y,z'
'x+1/2,y+1/2,z'
'-x+1/2,-y+1/2,-z'
'-x+1/2,y+1/2,-z'
'x+1/2,-y+1/2,z'
loop_
_atom_site_label
_atom_site_type_symbol
_atom_site_fract_x
_atom_site_fract_y
_atom_site_fract_z
Nb1 Nb 0.000 0.000 0.000
S1 S 0.187 0.000 0.664
O1 O 0.122 0.166 0.784
O2 O 0.137 0.000 0.347
O3 O 0.175 0.500 0.280
```

Material: Sm6Dy3Y2
Method: DFT, PBE
State: optimized geometry

## Properties
Spin magnetization in μB per formula unit: 0.0
Excess energy over the best structure of this formula in the dataset in meV per atom: 275.7
N(E_F) in states/eV per cell: 32.169
E_form in eV/atom: 0.291

Geometry as CIF:
```
data_Sm6Dy3Y2
_chemical_formula_sum 'Sm12 Dy6 Y4'
_space_group_name_H-M_alt 'I 4/m m m'
_space_group_IT_number 139
_space_group_name_Hall '-I 4 2'
_cell_length_a 4.757
_cell_length_b 4.757
_cell_length_c 33.725
_cell_angle_alpha 90.00
_cell_angle_beta 90.00
_cell_angle_gamma 90.00
loop_
_atom_site_label
_atom_site_type_symbol
_atom_site_fract_x
_atom_site_fract_y
_atom_site_fract_z
Sm1 Sm 0.000 0.000 0.200
Sm2 Sm 0.000 0.500 0.122
Dy1 Dy 0.000 0.000 0.302
Dy2 Dy 0.000 0.000 0.500
Y1 Y 0.000 0.000 0.046
```

Material: Tm8Ge3Se3S
Method: DFT, PBE
State: optimized geometry

## Properties
Spin magnetization in μB per formula unit: 0.0
N(E_F) in states/eV per cell: 18.439
E_tot in Ha/atom: -0.20526

Geometry as CIF:
```
data_Tm8Ge3Se3S
_chemical_formula_sum 'Tm24 Ge9 Se9 S3'
_space_group_name_H-M_alt 'R -3 m'
_space_group_IT_number 166
_space_group_name_Hall '-R 3 2"'
_cell_length_a 8.0631
_cell_length_b 8.0631
_cell_length_c 19.5992
_cell_angle_alpha 90.00
_cell_angle_beta 90.00
_cell_angle_gamma 120.00
loop_
_atom_site_label
_atom_site_type_symbol
_atom_site_fract_x
_atom_site_fract_y
_atom_site_fract_z
Tm1 Tm 0.0000 0.0000 0.2462
Tm2 Tm 0.0040 0.5020 0.7538
Ge1 Ge 0.0000 0.5000 0.5000
Se1 Se 0.0000 0.5000 0.0000
S1 S 0.0000 0.0000 0.5000
```

Material: Nd6PuN8
Method: DFT, PBE
State: optimized geometry

## Properties
Spin magnetization in μB per formula unit: 1.7
N(E_F) in states/eV per cell: 27.290
E_tot in Ha/atom: -0.31321

Geometry as CIF:
```
data_Nd6PuN8
_chemical_formula_sum 'Nd24 Pu4 N32'
_space_group_name_H-M_alt 'F m -3 m'
_space_group_IT_number 225
_space_group_name_Hall '-F 4 2 3'
_cell_length_a 10.191
_cell_length_b 10.191
_cell_length_c 10.191
_cell_angle_alpha 90.00
_cell_angle_beta 90.00
_cell_angle_gamma 90.00
loop_
_atom_site_label
_atom_site_type_symbol
_atom_site_fract_x
_atom_site_fract_y
_atom_site_fract_z
Nd1 Nd 0.000 0.250 0.250
Pu1 Pu 0.000 0.000 0.000
N1 N 0.000 0.000 0.213
N2 N 0.250 0.250 0.250
```

- Which of these has the highest spin magnetization?
  Nd6PuN8

- Which of these has the highest spin magnetization?
  Nd6PuN8

- What is the formula in the seventh record?
  Tm8Ge3Se3S